# 1
# PBE FeNi6Pd3, relaxed
data_FeNi6Pd3
_chemical_formula_sum 'Fe2 Ni12 Pd6'
_cell_length_a 3.7097
_cell_length_b 8.1123
_cell_length_c 8.2988
_cell_angle_alpha 91.76
_cell_angle_beta 90.00
_cell_angle_gamma 90.00
_space_group_name_H-M_alt 'P 1'
_space_group_IT_number 1
loop_
_space_group_symop_operation_xyz
'x,y,z'
loop_
_atom_site_label
_atom_site_type_symbol
_atom_site_fract_x
_atom_site_fract_y
_atom_site_fract_z
Fe1 Fe 0.2500 0.9474 0.6077
Ni1 Ni 0.7500 0.1350 0.6895
Pd1 Pd 0.7500 0.4491 0.5995
Ni2 Ni 0.7500 0.9549 0.1060
Ni3 Ni 0.7500 0.3371 0.3020
Ni4 Ni 0.7500 0.7686 0.5051
Fe2 Fe 0.7500 0.0526 0.3923
Ni5 Ni 0.2500 0.2314 0.4949
Ni6 Ni 0.7500 0.8538 0.7932
Pd2 Pd 0.7500 0.2441 0.0053
Pd3 Pd 0.2500 0.3473 0.7994
Pd4 Pd 0.7500 0.6527 0.2006
Ni7 Ni 0.2500 0.8650 0.3105
Pd5 Pd 0.2500 0.7559 0.9947
Ni8 Ni 0.2500 0.0451 0.8940
Ni9 Ni 0.7500 0.5552 0.8970
Pd6 Pd 0.2500 0.5509 0.4005
Ni10 Ni 0.2500 0.1462 0.2068
Ni11 Ni 0.2500 0.6629 0.6980
Ni12 Ni 0.2500 0.4448 0.1030
# * formation energy from the elements: 7 meV/atom
# * total moment: 7.77 μB/f.u.
# * space-group type: P2_1/m
# * total energy: -5.866 eV/atom

---

# 2
# PBE Fe2NiPd4, relaxed
data_Fe2NiPd4
_chemical_formula_sum 'Fe4 Ni2 Pd8'
_cell_length_a 6.7425
_cell_length_b 6.7425
_cell_length_c 6.7425
_cell_angle_alpha 96.54
_cell_angle_beta 116.30
_cell_angle_gamma 116.30
_space_group_name_H-M_alt 'P 1'
_space_group_IT_number 1
loop_
_space_group_symop_operation_xyz
'x,y,z'
loop_
_atom_site_label
_atom_site_type_symbol
_atom_site_fract_x
_atom_site_fract_y
_atom_site_fract_z
Pd1 Pd 0.2002 0.5062 0.0062
Fe1 Fe 0.7971 0.1485 0.6485
Pd2 Pd 0.5000 0.6939 0.4938
Pd3 Pd 0.2002 0.1939 0.6939
Ni1 Ni 0.0000 0.2500 0.2500
Fe2 Fe 0.5000 0.3515 0.1485
Pd4 Pd 0.5000 0.9938 0.1939
Pd5 Pd 0.7998 0.8061 0.3061
Pd6 Pd 0.5000 0.3061 0.5062
Fe3 Fe 0.2029 0.8515 0.3515
Fe4 Fe 0.5000 0.6485 0.8515
Pd7 Pd 0.5000 0.0062 0.8061
Pd8 Pd 0.7998 0.4938 0.9938
Ni2 Ni 0.0000 0.7500 0.7500
# * formation energy from the elements: 328 meV/atom
# * total moment: 8.40 μB/f.u.
# * space-group type: I4/mcm
# * offset from the most stable computed form: 253 meV/atom
# * total energy: -5.883 eV/atom

---

# 3
# PBE FeNi2Pd8, relaxed
data_FeNi2Pd8
_chemical_formula_sum 'Fe1 Ni2 Pd8'
_cell_length_a 3.9141
_cell_length_b 6.1243
_cell_length_c 7.1882
_cell_angle_alpha 105.43
_cell_angle_beta 105.80
_cell_angle_gamma 90.00
_space_group_name_H-M_alt 'P 1'
_space_group_IT_number 1
loop_
_space_group_symop_operation_xyz
'x,y,z'
loop_
_atom_site_label
_atom_site_type_symbol
_atom_site_fract_x
_atom_site_fract_y
_atom_site_fract_z
Fe1 Fe 0.5000 0.0000 0.0000
Pd1 Pd 0.4034 0.5461 0.8069
Pd2 Pd 0.9542 0.2678 0.9083
Pd3 Pd 0.3188 0.0846 0.6376
Pd4 Pd 0.5966 0.4539 0.1931
Ni1 Ni 0.2258 0.6322 0.4516
Pd5 Pd 0.8606 0.8092 0.7211
Pd6 Pd 0.6812 0.9154 0.3624
Pd7 Pd 0.1394 0.1908 0.2789
Ni2 Ni 0.7742 0.3678 0.5484
Pd8 Pd 0.0458 0.7322 0.0917
# * formation energy from the elements: -25 meV/atom
# * total moment: 7.54 μB/f.u.
# * space-group type: C2/m
# * offset from the most stable computed form: 0 meV/atom
# * total energy: -5.622 eV/atom

---

# 4
# PBE Fe2Ni2Pd, relaxed
data_Fe2Ni2Pd
_chemical_formula_sum 'Fe4 Ni4 Pd2'
_cell_length_a 6.8329
_cell_length_b 6.8329
_cell_length_c 2.6928
_cell_angle_alpha 90.00
_cell_angle_beta 90.00
_cell_angle_gamma 90.00
_space_group_name_H-M_alt 'P 1'
_space_group_IT_number 1
loop_
_space_group_symop_operation_xyz
'x,y,z'
loop_
_atom_site_label
_atom_site_type_symbol
_atom_site_fract_x
_atom_site_fract_y
_atom_site_fract_z
Ni1 Ni 0.6267 0.1267 0.0000
Fe1 Fe 0.8303 0.3303 0.5000
Ni2 Ni 0.3733 0.8733 0.0000
Pd1 Pd 0.0000 0.0000 0.0000
Pd2 Pd 0.5000 0.5000 0.0000
Ni3 Ni 0.8733 0.6267 0.0000
Fe2 Fe 0.6697 0.8303 0.5000
Fe3 Fe 0.1697 0.6697 0.5000
Ni4 Ni 0.1267 0.3733 0.0000
Fe4 Fe 0.3303 0.1697 0.5000
# * formation energy from the elements: 13 meV/atom
# * total moment: 7.55 μB/f.u.
# * space-group type: P4/mbm
# * offset from the most stable computed form: 0 meV/atom
# * total energy: -6.723 eV/atom

---

# 5
# PBE FeNi4Pd4, relaxed
data_FeNi4Pd4
_chemical_formula_sum 'Fe1 Ni4 Pd4'
_cell_length_a 4.5450
_cell_length_b 4.5450
_cell_length_c 7.8946
_cell_angle_alpha 74.90
_cell_angle_beta 74.90
_cell_angle_gamma 49.48
_space_group_name_H-M_alt 'P 1'
_space_group_IT_number 1
loop_
_space_group_symop_operation_xyz
'x,y,z'
loop_
_atom_site_label
_atom_site_type_symbol
_atom_site_fract_x
_atom_site_fract_y
_atom_site_fract_z
Ni1 Ni 0.1657 0.1657 0.4503
Ni2 Ni 0.8278 0.8278 0.2307
Pd1 Pd 0.8355 0.8355 0.8872
Ni3 Ni 0.1722 0.1722 0.7693
Pd2 Pd 0.4904 0.4904 0.3342
Pd3 Pd 0.5096 0.5096 0.6658
Fe1 Fe 0.5000 0.5000 0.0000
Ni4 Ni 0.8343 0.8343 0.5497
Pd4 Pd 0.1645 0.1645 0.1128
# * formation energy from the elements: -6 meV/atom
# * total moment: 7.16 μB/f.u.
# * space-group type: C2/m
# * total energy: -5.824 eV/atom

---

# 6
# PBE Fe6Ni5Pd, relaxed
data_Fe6Ni5Pd
_chemical_formula_sum 'Fe6 Ni5 Pd1'
_cell_length_a 3.5850
_cell_length_b 7.2794
_cell_length_c 5.6908
_cell_angle_alpha 90.00
_cell_angle_beta 71.67
_cell_angle_gamma 90.00
_space_group_name_H-M_alt 'P 1'
_space_group_IT_number 1
loop_
_space_group_symop_operation_xyz
'x,y,z'
loop_
_atom_site_label
_atom_site_type_symbol
_atom_site_fract_x
_atom_site_fract_y
_atom_site_fract_z
Ni1 Ni 0.6669 0.5000 0.6664
Pd1 Pd 0.0000 0.0000 0.0000
Fe1 Fe 0.5000 0.7403 0.0000
Fe2 Fe 0.8304 0.7449 0.3390
Fe3 Fe 0.8304 0.2551 0.3390
Ni2 Ni 0.6713 0.0000 0.6576
Ni3 Ni 0.0000 0.5000 0.0000
Fe4 Fe 0.1696 0.7449 0.6610
Fe5 Fe 0.5000 0.2597 0.0000
Fe6 Fe 0.1696 0.2551 0.6610
Ni4 Ni 0.3331 0.5000 0.3336
Ni5 Ni 0.3287 0.0000 0.3424
# * formation energy from the elements: -50 meV/atom
# * total moment: 19.47 μB/f.u.
# * space-group type: Cmmm
# * total energy: -7.123 eV/atom

---

Q: Which value of total energy does entry 2 give?
A: -5.883 eV/atom